#A
Below is a relaxed structure of ZrOs2Au, with properties calculated at the PBE level.

D(E_F)	1.01	states/eV/atom
space group	No. 99

Lattice parameters (Å, degrees): 2.8605 2.8605 8.2976 90.00 90.00 90.00
With the nearest neighbours (Å) after each atom.
Atoms (fractional coordinates):
Zr 0.0000 0.0000 0.0000  4 Zr 2.86, 4 Os 3.00, 4 Au 3.03
Os 0.0000 0.0000 0.5350  8 Os 2.60-2.86
Os 0.5000 0.5000 0.7326  8 Os 2.60-2.86
Au 0.5000 0.5000 0.2715  4 Au 2.86, 4 Os 2.98, 4 Zr 3.03

=====

#B
Below is a relaxed structure of ZrOs2Au, with properties calculated at the PBE level.

D(E_F)	1.11	states/eV/atom
space group	No. 123

Lattice parameters (Å, degrees): 2.8910 2.8910 8.1148 90.00 90.00 90.00
With the nearest neighbours (Å) after each atom.
Atoms (fractional coordinates):
Zr 0.0000 0.0000 0.0000  4 Zr 2.89, 8 Os 2.90
Os 0.5000 0.5000 0.2537  4 Au 2.86, 4 Os 2.89, 4 Zr 2.90
Os 0.5000 0.5000 0.7463  4 Au 2.86, 4 Os 2.89, 4 Zr 2.90
Au 0.0000 0.0000 0.5000  8 Os 2.86, 4 Au 2.89

=====

Verdict on stability: #A comes out on top.

=====

#A
Below is a relaxed structure of ZrOs2Au, with properties calculated at the PBE level.

D(E_F)	1.20	states/eV/atom
space group	No. 123

Lattice parameters (Å, degrees): 3.3848 3.3848 5.9192 90.00 90.00 90.00
With the nearest neighbours (Å) after each atom.
Atoms (fractional coordinates):
Zr 0.0000 0.0000 0.0000  8 Os 2.83, 2 Au 2.96
Os 0.5000 0.5000 0.2566  4 Au 2.79, 4 Zr 2.83, 2 Os 2.88-3.04
Os 0.5000 0.5000 0.7434  4 Au 2.79, 4 Zr 2.83, 2 Os 2.88-3.04
Au 0.0000 0.0000 0.5000  8 Os 2.79, 2 Zr 2.96

=====

#B
Below is a relaxed structure of ZrOs2Au, with properties calculated at the PBE level.

D(E_F)	0.66	states/eV/atom
space group	No. 44

Lattice parameters (Å, degrees): 4.9847 4.9847 4.9847 133.16 131.43 69.77
With the nearest neighbours (Å) after each atom.
Atoms (fractional coordinates):
Zr 0.0000 0.0000 0.0000  8 Os 2.84-2.91, 4 Au 2.87
Os 0.5075 0.5075 0.0000  4 Os 2.74-3.00, 4 Zr 2.85, 4 Au 2.87-2.88
Os 0.7395 0.2395 0.5000  4 Os 2.74-3.00, 4 Zr 2.84-2.91, 4 Au 2.85
Au 0.2543 0.7543 0.5000  8 Os 2.85-2.88, 4 Zr 2.87

=====

Verdict on stability: #B comes out on top.

=====

#A
Below is a relaxed structure of ZrOs2Au, with properties calculated at the PBE level.

D(E_F)	0.90	states/eV/atom
space group	No. 123

Lattice parameters (Å, degrees): 4.0573 4.0573 3.9963 90.00 90.00 90.00
With the nearest neighbours (Å) after each atom.
Atoms (fractional coordinates):
Zr 0.0000 0.0000 0.0000  8 Os 2.85, 4 Au 2.87
Os 0.0000 0.5000 0.5000  4 Zr 2.85, 4 Au 2.85, 4 Os 2.87
Os 0.5000 0.0000 0.5000  4 Zr 2.85, 4 Au 2.85, 4 Os 2.87
Au 0.5000 0.5000 0.0000  8 Os 2.85, 4 Zr 2.87

=====

#B
Below is a relaxed structure of ZrOs2Au, with properties calculated at the PBE level.

D(E_F)	0.77	states/eV/atom
space group	No. 122

Lattice parameters (Å, degrees): 9.9304 9.9304 9.9304 156.68 156.68 33.22
With the nearest neighbours (Å) after each atom.
Atoms (fractional coordinates):
Zr 0.0000 0.0000 0.0000  4 Au 2.84, 4 Os 2.90
Zr 0.7500 0.2500 0.5000  4 Au 2.84, 4 Os 2.90
Os 0.2015 0.6250 0.0765  2 Os 2.44, 2 Au 2.67
Os 0.3750 0.4515 0.5765  2 Os 2.44, 2 Au 2.67
Os 0.5485 0.1250 0.9235  2 Os 2.44, 2 Au 2.67
Os 0.8750 0.7985 0.4235  2 Os 2.44, 2 Au 2.67
Au 0.2500 0.7500 0.5000  4 Os 2.67, 4 Zr 2.84
Au 0.5000 0.5000 0.0000  4 Os 2.67, 4 Zr 2.84

=====

#C
Below is a relaxed structure of ZrOs2Au, with properties calculated at the PBE level.

D(E_F)	0.92	states/eV/atom
space group	No. 65

Lattice parameters (Å, degrees): 2.8177 2.8177 9.1258 90.00 90.00 110.69
With the nearest neighbours (Å) after each atom.
Atoms (fractional coordinates):
Zr 0.0000 0.0000 0.0000  4 Os 2.72, 4 Zr 2.82
Os 0.5000 0.5000 0.2403  2 Zr 2.72, 4 Os 2.82, 2 Au 2.86
Os 0.5000 0.5000 0.7597  2 Zr 2.72, 4 Os 2.82, 2 Au 2.86
Au 0.0000 0.0000 0.5000  4 Au 2.82, 4 Os 2.86

=====

Verdict on stability: #A comes out on top.

=====

#A
Below is a relaxed structure of ZrOs2Au, with properties calculated at the PBE level.

D(E_F)	0.97	states/eV/atom
space group	No. 166

Lattice parameters (Å, degrees): 9.8038 9.8038 9.8038 16.61 16.61 16.61
With the nearest neighbours (Å) after each atom.
Atoms (fractional coordinates):
Zr 0.0000 0.0000 0.0000  6 Zr 2.83, 6 Os 2.93
Os 0.2493 0.2493 0.2493  6 Os 2.83, 3 Au 2.90, 3 Zr 2.93
Os 0.7507 0.7507 0.7507  6 Os 2.83, 3 Au 2.90, 3 Zr 2.93
Au 0.5000 0.5000 0.5000  6 Au 2.83, 6 Os 2.90

=====

#B
Below is a relaxed structure of ZrOs2Au, with properties calculated at the PBE level.

D(E_F)	1.53	states/eV/atom
space group	No. 216

Lattice parameters (Å, degrees): 4.5820 4.5820 4.5820 60.00 60.00 60.00
With the nearest neighbours (Å) after each atom.
Atoms (fractional coordinates):
Zr 0.0000 0.0000 0.0000  4 Os 2.81, 4 Au 2.81
Os 0.5000 0.5000 0.5000  4 Os 2.81, 4 Au 2.81
Os 0.7500 0.7500 0.7500  4 Zr 2.81, 4 Os 2.81
Au 0.2500 0.2500 0.2500  4 Zr 2.81, 4 Os 2.81

=====

Verdict on stability: #B comes out on top.

=====

#A
Below is a relaxed structure of ZrOs2Au, with properties calculated at the PBE level.

D(E_F)	1.19	states/eV/atom
space group	No. 139

Lattice parameters (Å, degrees): 5.0030 5.0030 5.0030 132.40 132.40 69.60
With the nearest neighbours (Å) after each atom.
Atoms (fractional coordinates):
Zr 0.0000 0.0000 0.0000  4 Au 2.86, 8 Os 2.88
Os 0.2500 0.7500 0.5000  4 Os 2.86, 4 Zr 2.88, 4 Au 2.88
Os 0.7500 0.2500 0.5000  4 Os 2.86, 4 Zr 2.88, 4 Au 2.88
Au 0.5000 0.5000 0.0000  4 Zr 2.86, 8 Os 2.88

=====

#B
Below is a relaxed structure of ZrOs2Au, with properties calculated at the PBE level.

D(E_F)	1.04	states/eV/atom
space group	No. 225

Lattice parameters (Å, degrees): 4.5744 4.5744 4.5744 60.00 60.00 60.00
With the nearest neighbours (Å) after each atom.
Atoms (fractional coordinates):
Zr 0.0000 0.0000 0.0000  8 Os 2.80
Os 0.2500 0.2500 0.2500  4 Zr 2.80, 4 Au 2.80
Os 0.7500 0.7500 0.7500  4 Zr 2.80, 4 Au 2.80
Au 0.5000 0.5000 0.5000  8 Os 2.80

=====

#C
Below is a relaxed structure of ZrOs2Au, with properties calculated at the PBE level.

D(E_F)	1.50	states/eV/atom
space group	No. 160

Lattice parameters (Å, degrees): 9.7457 9.7457 9.7457 16.82 16.82 16.82
With the nearest neighbours (Å) after each atom.
Atoms (fractional coordinates):
Zr 0.0000 0.0000 0.0000  6 Zr 2.85, 3 Os 3.03, 3 Au 3.05
Os 0.2450 0.2450 0.2450  9 Os 2.63-2.85
Os 0.5072 0.5072 0.5072  9 Os 2.63-2.85
Au 0.7556 0.7556 0.7556  6 Au 2.85, 3 Os 2.95, 3 Zr 3.05

=====

Verdict on stability: #A comes out on top.

=====

#A
Below is a relaxed structure of ZrOs2Au, with properties calculated at the PBE level.

D(E_F)	0.56	states/eV/atom
space group	No. 25

Lattice parameters (Å, degrees): 2.9275 3.9385 5.8517 90.00 90.00 90.00
With the nearest neighbours (Å) after each atom.
Atoms (fractional coordinates):
Zr 0.0000 0.0000 0.0000  5 Os 2.66-2.92, 4 Au 2.91, 2 Zr 2.93
Os 0.0000 0.0000 0.5449  1 Zr 2.66, 6 Os 2.68-2.93, 4 Au 2.95
Os 0.5000 0.5000 0.7307  6 Os 2.68-2.93, 1 Au 2.72, 4 Zr 2.92
Au 0.5000 0.5000 0.2663  5 Os 2.72-2.95, 4 Zr 2.91, 2 Au 2.93

=====

#B
Below is a relaxed structure of ZrOs2Au, with properties calculated at the PBE level.

D(E_F)	0.69	states/eV/atom
space group	No. 8

Lattice parameters (Å, degrees): 4.9910 4.9910 4.8181 101.07 101.07 34.90
With the nearest neighbours (Å) after each atom.
Atoms (fractional coordinates):
Zr 0.0000 0.0000 0.0000  7 Os 2.72-2.97, 3 Au 2.80-2.90, 2 Zr 2.99
Os 0.2413 0.2413 0.7136  5 Os 2.68-2.99, 4 Au 2.74-2.94, 3 Zr 2.91-2.97
Os 0.5070 0.5070 0.5316  5 Os 2.68-2.99, 4 Zr 2.72-2.96, 3 Au 2.92-2.98
Au 0.7566 0.7566 0.2434  7 Os 2.74-2.98, 3 Zr 2.80-2.90, 2 Au 2.99

=====

Verdict on stability: #A comes out on top.

=====

#A
Below is a relaxed structure of ZrOs2Au, with properties calculated at the PBE level.

D(E_F)	0.89	states/eV/atom
space group	No. 12

Lattice parameters (Å, degrees): 4.9044 4.9044 4.9534 101.47 101.47 35.36
With the nearest neighbours (Å) after each atom.
Atoms (fractional coordinates):
Zr 0.0000 0.0000 0.0000  6 Os 2.84-2.94, 4 Au 2.89, 2 Zr 2.98
Os 0.2520 0.2520 0.7306  4 Os 2.72-2.98, 3 Au 2.79-2.82, 3 Zr 2.84-2.94
Os 0.7480 0.7480 0.2694  4 Os 2.72-2.98, 3 Au 2.79-2.82, 3 Zr 2.84-2.94
Au 0.5000 0.5000 0.5000  6 Os 2.79-2.82, 4 Zr 2.89, 2 Au 2.98

=====

#B
Below is a relaxed structure of ZrOs2Au, with properties calculated at the PBE level.

D(E_F)	0.84	states/eV/atom
space group	No. 10

Lattice parameters (Å, degrees): 2.8306 4.7599 5.0154 90.00 93.60 90.00
With the nearest neighbours (Å) after each atom.
Atoms (fractional coordinates):
Zr 0.0000 0.0000 0.0000  4 Au 2.80-2.96, 2 Zr 2.83, 4 Os 2.87
Os 0.3008 0.5000 0.7399  5 Os 2.72-2.86, 2 Au 2.74, 2 Zr 2.87
Os 0.6992 0.5000 0.2601  5 Os 2.72-2.86, 2 Au 2.74, 2 Zr 2.87
Au 0.5000 0.0000 0.5000  4 Os 2.74, 4 Zr 2.80-2.96, 2 Au 2.83

=====

Verdict on stability: #A comes out on top.

=====

#A
Below is a relaxed structure of P4Au3, with properties calculated at the PBE level.

D(E_F)	0.29	states/eV/atom
space group	No. 139

Lattice parameters (Å, degrees): 13.1020 13.1020 13.1020 166.23 166.23 19.52
With the nearest neighbours (Å) after each atom.
Atoms (fractional coordinates):
P 0.0919 0.0919 0.0000  4 P 2.34, 1 Au 2.37
P 0.3794 0.3794 0.0000  4 P 2.34, 1 Au 2.39
P 0.6206 0.6206 0.0000  4 P 2.34, 1 Au 2.39
P 0.9081 0.9081 0.0000  4 P 2.34, 1 Au 2.37
Au 0.0000 0.0000 0.0000  2 P 2.37
Au 0.2867 0.2867 0.0000  1 P 2.39
Au 0.7133 0.7133 0.0000  1 P 2.39

=====

#B
Below is a relaxed structure of P4Au3, with properties calculated at the PBE level.

D(E_F)	0.43	states/eV/atom
space group	No. 191

Lattice parameters (Å, degrees): 6.1195 6.1195 4.0516 90.00 90.00 120.00
With the nearest neighbours (Å) after each atom.
Atoms (fractional coordinates):
P 0.0000 0.0000 0.2431  2 P 1.97-2.08
P 0.0000 0.0000 0.7569  2 P 1.97-2.08
P 0.3333 0.6667 0.0000  6 Au 2.69
P 0.6667 0.3333 0.0000  6 Au 2.69
Au 0.0000 0.5000 0.5000  4 P 2.69
Au 0.5000 0.0000 0.5000  4 P 2.69
Au 0.5000 0.5000 0.5000  4 P 2.69

=====

Verdict on stability: #A comes out on top.